DFT (GGA-PBE) results for CoSb2Pd2 after structural relaxation.

E above lowest polymorph: 314.6 meV/atom
DFT total energy: -24.24 eV per formula unit
DOS(E_F): 1.6155 states/eV per atom
uncorrected formation energy: 299.2 meV per atom

Cell lengths 5.3236, 5.3236, 5.3236 Å; angles 120.97, 120.97, 88.33 degrees
Closest atoms and distances in Å follow each position.
Fractional coordinates of all 5 atoms:
Co1 0.0000 0.0000 0.0000  2 Pd 2.52
Sb1 0.2500 0.7500 0.5000  4 Pd 2.69
Sb2 0.7500 0.2500 0.5000  4 Pd 2.69
Pd1 0.3305 0.3305 0.0000  1 Co 2.52, 1 Pd 2.59, 4 Sb 2.69
Pd2 0.6695 0.6695 0.0000  1 Co 2.52, 1 Pd 2.59, 4 Sb 2.69

***

DFT (GGA-PBE) results for Y7In2Sn2 after structural relaxation.

DFT total energy: -61.54 eV per formula unit
DOS(E_F): 1.0496 states/eV per atom
DFT formation energy: -2.81 eV per formula unit

Cell lengths 6.9141, 6.9141, 7.6268 Å; angles 90.00, 90.00, 107.64 degrees
Closest atoms and distances in Å follow each position.
Fractional coordinates of all 11 atoms:
Y1 0.0000 0.0000 0.0000  2 Sn 3.26
Y2 0.0000 0.5000 0.2845  2 Sn 3.02, 1 Y 3.29, 2 In 3.30
Y3 0.0000 0.5000 0.7155  2 Sn 3.02, 1 Y 3.29, 2 In 3.30
Y4 0.5000 0.0000 0.2845  2 Sn 3.02, 1 Y 3.29, 2 In 3.30
Y5 0.5000 0.0000 0.7155  2 Sn 3.02, 1 Y 3.29, 2 In 3.30
Y6 0.5000 0.5000 0.2695  2 Sn 3.10, 2 In 3.18, 4 Y 3.46
Y7 0.5000 0.5000 0.7305  2 Sn 3.10, 2 In 3.18, 4 Y 3.46
In1 0.1753 0.1753 0.5000  1 In 2.86, 2 Y 3.18
In2 0.8247 0.8247 0.5000  1 In 2.86, 2 Y 3.18
Sn1 0.2923 0.7077 0.0000  7 Y 3.02-3.26
Sn2 0.7077 0.2923 0.0000  7 Y 3.02-3.26

***

Q: Among the records above, which one has the lowest DFT total energy?
A: Y7In2Sn2